Entry 1:
Computed, not measured: a relaxed structure of Tb7Pm2Sc at the PBE level of DFT.

a = 14.7185 Å, b = 14.7185 Å, c = 3.4557 Å
α = 90.00°, β = 90.00°, γ = 154.42°
Last column: nearest neighbours and their distance in Å.
Fractional positions:
1 Tb 0.0000 0.0000 0.0000  6 Tb 3.22-3.46
2 Tb 0.1612 0.3530 0.0000  7 Tb 3.17-3.47
3 Tb 0.3148 0.6852 0.5000  6 Tb 3.46-3.47, 6 Pm 3.57-3.74
4 Tb 0.3530 0.1612 0.0000  7 Tb 3.17-3.47
5 Tb 0.6470 0.8388 0.0000  7 Tb 3.17-3.47
6 Tb 0.6852 0.3148 0.5000  6 Tb 3.46-3.47, 6 Pm 3.57-3.74
7 Tb 0.8388 0.6470 0.0000  7 Tb 3.17-3.47
8 Pm 0.2061 0.7939 0.0000  2 Pm 3.46, 8 Tb 3.57-3.74
9 Pm 0.7939 0.2061 0.0000  2 Pm 3.46, 8 Tb 3.57-3.74
10 Sc 0.5000 0.5000 0.5000  2 Sc 3.46, 12 Tb 3.62-3.69

final energy = -0.1709 hartree per atom

Entry 2:
Computed, not measured: a relaxed structure of TbPm3Sc6 at the PBE level of DFT.

a = 6.5794 Å, b = 6.5794 Å, c = 6.5794 Å
α = 90.59°, β = 90.59°, γ = 90.59°
Last column: nearest neighbours and their distance in Å.
Fractional positions:
1 Tb 0.0000 0.0000 0.0000  2 Pm 2.82
2 Pm 0.2500 0.2500 0.2500  1 Pm 2.82, 1 Tb 2.82, 3 Sc 3.06
3 Pm 0.5000 0.5000 0.5000  2 Pm 2.82
4 Pm 0.7501 0.7501 0.7501  1 Tb 2.82, 1 Pm 2.82, 3 Sc 3.06
5 Sc 0.0771 0.7526 0.4218  2 Pm 3.06-3.29, 1 Tb 3.27
6 Sc 0.2487 0.5793 0.9240  2 Pm 3.06-3.30, 1 Tb 3.27
7 Sc 0.4218 0.0771 0.7526  2 Pm 3.06-3.29, 1 Tb 3.27
8 Sc 0.5793 0.9240 0.2487  2 Pm 3.06-3.30, 1 Tb 3.27
9 Sc 0.7526 0.4218 0.0771  2 Pm 3.06-3.29, 1 Tb 3.27
10 Sc 0.9240 0.2487 0.5793  2 Pm 3.06-3.30, 1 Tb 3.27

final energy = -0.1940 hartree per atom
energy above the lowest structure with this stoichiometry = 5.22 kcal/mol of atoms

Entry 3:
Computed, not measured: a relaxed structure of Tb6Pm3Sc at the PBE level of DFT.

a = 6.8739 Å, b = 6.8739 Å, c = 6.8739 Å
α = 91.54°, β = 91.54°, γ = 91.54°
Last column: nearest neighbours and their distance in Å.
Fractional positions:
1 Tb 0.0866 0.7439 0.4222  2 Pm 3.27-3.48, 1 Sc 3.38
2 Tb 0.2561 0.5778 0.9134  2 Pm 3.27-3.48, 1 Sc 3.38
3 Tb 0.4222 0.0866 0.7439  2 Pm 3.27-3.48, 1 Sc 3.38
4 Tb 0.5778 0.9134 0.2561  2 Pm 3.27-3.48, 1 Sc 3.38
5 Tb 0.7439 0.4222 0.0866  2 Pm 3.27-3.48, 1 Sc 3.38
6 Tb 0.9134 0.2561 0.5778  2 Pm 3.27-3.48, 1 Sc 3.38
7 Pm 0.0000 0.0000 0.0000  2 Pm 2.94
8 Pm 0.2538 0.2538 0.2538  1 Sc 2.85, 1 Pm 2.94
9 Pm 0.7462 0.7462 0.7462  1 Sc 2.85, 1 Pm 2.94
10 Sc 0.5000 0.5000 0.5000  2 Pm 2.85

final energy = -0.1689 hartree per atom
energy above the lowest structure with this stoichiometry = 2.19 kcal/mol of atoms

Entry 4:
Computed, not measured: a relaxed structure of Tb2PmSc at the PBE level of DFT.

a = 6.0848 Å, b = 6.9911 Å, c = 7.0023 Å
α = 60.10°, β = 73.38°, γ = 89.93°
Last column: nearest neighbours and their distance in Å.
Fractional positions:
1 Tb 0.2501 0.1232 0.2501  4 Tb 3.46-3.53, 4 Sc 3.47-3.53, 4 Pm 3.49-3.54
2 Tb 0.2505 0.6280 0.2496  4 Tb 3.46-3.53, 4 Sc 3.46-3.53, 4 Pm 3.49-3.55
3 Tb 0.7495 0.3720 0.7504  4 Tb 3.46-3.53, 4 Sc 3.46-3.53, 4 Pm 3.49-3.55
4 Tb 0.7499 0.8768 0.7499  4 Tb 3.46-3.53, 4 Sc 3.47-3.53, 4 Pm 3.49-3.54
5 Pm 0.2552 0.6258 0.7481  8 Tb 3.49-3.55, 3 Sc 3.50-3.54, 1 Pm 3.57
6 Pm 0.7448 0.3742 0.2519  8 Tb 3.49-3.55, 3 Sc 3.50-3.54, 1 Pm 3.57
7 Sc 0.2418 0.1223 0.7553  1 Sc 3.43, 8 Tb 3.46-3.53, 3 Pm 3.50-3.54
8 Sc 0.7582 0.8777 0.2447  1 Sc 3.43, 8 Tb 3.46-3.53, 3 Pm 3.50-3.54

final energy = -0.1854 hartree per atom
energy above the lowest structure with this stoichiometry = 0.13 kcal/mol of atoms

Entry 5:
Computed, not measured: a relaxed structure of Tb7Pm4Sc at the PBE level of DFT.

a = 6.3039 Å, b = 6.3039 Å, c = 13.2208 Å
α = 102.95°, β = 102.95°, γ = 50.24°
Last column: nearest neighbours and their distance in Å.
Fractional positions:
1 Tb 0.0000 0.0000 0.0000  2 Sc 2.68
2 Tb 0.0880 0.0880 0.6291  5 Pm 3.50-3.80, 7 Tb 3.51-3.72
3 Tb 0.2327 0.2327 0.8978  1 Sc 3.02, 1 Tb 3.26
4 Tb 0.3615 0.3615 0.5347  2 Pm 3.39-3.68, 8 Tb 3.50-3.72
5 Tb 0.6385 0.6385 0.4653  2 Pm 3.39-3.68, 8 Tb 3.50-3.72
6 Tb 0.7673 0.7673 0.1022  1 Sc 3.02, 1 Tb 3.26
7 Tb 0.9120 0.9120 0.3709  5 Pm 3.50-3.80, 7 Tb 3.51-3.72
8 Pm 0.1778 0.1778 0.2638  3 Pm 3.47-3.57, 9 Tb 3.57-3.88
9 Pm 0.4637 0.4637 0.2170  1 Sc 3.00
10 Pm 0.5363 0.5363 0.7830  1 Sc 3.00
11 Pm 0.8222 0.8222 0.7362  3 Pm 3.47-3.57, 9 Tb 3.57-3.88
12 Sc 0.5000 0.5000 0.0000  2 Tb 2.68

final energy = -0.1699 hartree per atom
energy above the lowest structure with this stoichiometry = 2.06 kcal/mol of atoms

Entry 6:
Computed, not measured: a relaxed structure of Tb2Pm5Sc2 at the PBE level of DFT.

a = 10.4568 Å, b = 10.4568 Å, c = 10.4568 Å
α = 73.10°, β = 119.18°, γ = 143.43°
Last column: nearest neighbours and their distance in Å.
Fractional positions:
1 Tb 0.0000 0.0000 0.0000  6 Pm 3.17-3.38, 2 Sc 3.46
2 Tb 0.0000 0.5000 0.5000  6 Pm 3.17-3.38, 2 Sc 3.46
3 Tb 0.2370 0.9964 0.7406  2 Sc 3.25, 4 Pm 3.42-3.60
4 Tb 0.2558 0.4964 0.2594  2 Sc 3.25, 4 Pm 3.42-3.60
5 Pm 0.0642 0.5307 0.8433  3 Pm 3.20-3.53, 2 Sc 3.27-3.31, 1 Tb 3.38
6 Pm 0.0642 0.7210 0.0336  3 Pm 3.20-3.53, 2 Sc 3.27-3.31, 1 Tb 3.38
7 Pm 0.4620 0.2662 0.3117  2 Tb 3.17-3.38, 3 Pm 3.28-3.48, 2 Sc 3.33-3.54
8 Pm 0.4620 0.6503 0.6959  2 Tb 3.17-3.38, 3 Pm 3.28-3.48, 2 Sc 3.33-3.54
9 Pm 0.6330 0.5107 0.6222  2 Tb 3.42-3.60, 4 Pm 3.48-3.79, 2 Sc 3.78
10 Pm 0.6874 0.0307 0.9664  3 Pm 3.20-3.53, 2 Sc 3.27-3.31, 1 Tb 3.38
11 Pm 0.6874 0.2210 0.1567  3 Pm 3.20-3.53, 2 Sc 3.27-3.31, 1 Tb 3.38
12 Pm 0.8885 0.0107 0.3778  2 Tb 3.42-3.60, 4 Pm 3.48-3.79, 2 Sc 3.78
13 Pm 0.9545 0.1503 0.6883  2 Tb 3.17-3.38, 3 Pm 3.28-3.48, 2 Sc 3.33-3.54
14 Pm 0.9545 0.7662 0.3041  2 Tb 3.17-3.38, 3 Pm 3.28-3.48, 2 Sc 3.33-3.54
15 Sc 0.4480 0.5623 0.0492  1 Sc 2.83
16 Sc 0.4480 0.8988 0.3857  1 Sc 2.83
17 Sc 0.5131 0.0623 0.6143  1 Sc 2.83
18 Sc 0.5131 0.3988 0.9508  1 Sc 2.83

final energy = -0.1776 hartree per atom
energy above the lowest structure with this stoichiometry = 2.82 kcal/mol of atoms

Entry 7:
Computed, not measured: a relaxed structure of TbPm5Sc at the PBE level of DFT.

a = 6.3053 Å, b = 6.3053 Å, c = 13.0895 Å
α = 95.23°, β = 95.23°, γ = 63.56°
Last column: nearest neighbours and their distance in Å.
Fractional positions:
1 Tb 0.2182 0.7818 0.7500  5 Pm 3.12-3.45
2 Tb 0.7818 0.2182 0.2500  7 Pm 3.12-3.50
3 Pm 0.2283 0.2717 0.6571  1 Sc 3.20, 6 Pm 3.29-3.58, 2 Tb 3.31-3.45
4 Pm 0.2520 0.7480 0.2500  1 Tb 3.12, 4 Pm 3.34-3.42
5 Pm 0.2717 0.2283 0.1571  1 Sc 3.20, 6 Pm 3.29-3.58, 2 Tb 3.31-3.45
6 Pm 0.3141 0.3525 0.9230  5 Pm 3.29-3.58, 1 Tb 3.50
7 Pm 0.3525 0.3141 0.4230  5 Pm 3.29-3.58, 1 Tb 3.50
8 Pm 0.6475 0.6859 0.5770  5 Pm 3.29-3.58, 1 Tb 3.50
9 Pm 0.6859 0.6475 0.0770  5 Pm 3.29-3.58, 1 Tb 3.50
10 Pm 0.7283 0.7717 0.8429  1 Sc 3.20, 6 Pm 3.29-3.58, 2 Tb 3.31-3.45
11 Pm 0.7480 0.2520 0.7500  1 Tb 3.12, 4 Pm 3.34-3.42
12 Pm 0.7717 0.7283 0.3429  1 Sc 3.20, 6 Pm 3.29-3.58, 2 Tb 3.31-3.45
13 Sc 0.0000 0.0000 0.0000  2 Pm 3.20, 2 Tb 3.58
14 Sc 0.0000 0.0000 0.5000  2 Pm 3.20, 2 Tb 3.58

final energy = -0.1757 hartree per atom

Entry 8:
Computed, not measured: a relaxed structure of Tb6Pm4Sc at the PBE level of DFT.

a = 5.6024 Å, b = 5.6024 Å, c = 25.6336 Å
α = 90.00°, β = 90.00°, γ = 118.25°
Last column: nearest neighbours and their distance in Å.
Fractional positions:
1 Tb 0.0000 0.0000 0.0000  6 Pm 3.16-3.43
2 Tb 0.0000 0.0000 0.5000  6 Pm 3.16-3.43
3 Tb 0.0302 0.9698 0.7500  3 Sc 3.22-3.28, 2 Pm 3.27
4 Tb 0.3026 0.6974 0.1095  5 Pm 3.27-3.61, 1 Sc 3.60
5 Tb 0.3026 0.6974 0.3905  5 Pm 3.27-3.61, 1 Sc 3.60
6 Tb 0.3651 0.6349 0.6842  5 Tb 3.37-3.72, 4 Pm 3.51-3.69, 3 Sc 3.59-3.71
7 Tb 0.3651 0.6349 0.8158  5 Tb 3.37-3.72, 4 Pm 3.51-3.69, 3 Sc 3.59-3.71
8 Tb 0.6349 0.3651 0.1842  5 Tb 3.37-3.72, 4 Pm 3.51-3.69, 3 Sc 3.59-3.71
9 Tb 0.6349 0.3651 0.3158  5 Tb 3.37-3.72, 4 Pm 3.51-3.69, 3 Sc 3.59-3.71
10 Tb 0.6974 0.3026 0.6095  5 Pm 3.27-3.61, 1 Sc 3.60
11 Tb 0.6974 0.3026 0.8905  5 Pm 3.27-3.61, 1 Sc 3.60
12 Tb 0.9698 0.0302 0.2500  3 Sc 3.22-3.28, 2 Pm 3.27
13 Pm 0.0391 0.9609 0.6223  6 Tb 3.16-3.51
14 Pm 0.0391 0.9609 0.8777  6 Tb 3.16-3.51
15 Pm 0.3483 0.6517 0.5458  7 Tb 3.43-3.73, 2 Pm 3.56-3.74
16 Pm 0.3483 0.6517 0.9542  7 Tb 3.43-3.73, 2 Pm 3.56-3.74
17 Pm 0.6517 0.3483 0.0458  7 Tb 3.43-3.73, 2 Pm 3.56-3.74
18 Pm 0.6517 0.3483 0.4542  7 Tb 3.43-3.73, 2 Pm 3.56-3.74
19 Pm 0.9609 0.0391 0.1223  6 Tb 3.16-3.51
20 Pm 0.9609 0.0391 0.3777  6 Tb 3.16-3.51
21 Sc 0.3051 0.6949 0.2500  7 Tb 3.22-3.60
22 Sc 0.6949 0.3051 0.7500  7 Tb 3.22-3.60

final energy = -0.1726 hartree per atom

Entry 9:
Computed, not measured: a relaxed structure of Tb15Pm4Sc at the PBE level of DFT.

a = 5.0463 Å, b = 5.0463 Å, c = 25.1644 Å
α = 90.00°, β = 90.00°, γ = 90.00°
Last column: nearest neighbours and their distance in Å.
Fractional positions:
1 Tb 0.0000 0.0000 0.0000  8 Tb 3.49, 4 Sc 3.57
2 Tb 0.0000 0.0000 0.1967  4 Pm 3.57, 8 Tb 3.58
3 Tb 0.0000 0.0000 0.3991  4 Pm 3.57, 8 Tb 3.58
4 Tb 0.0000 0.0000 0.6009  4 Pm 3.57, 8 Tb 3.58
5 Tb 0.0000 0.0000 0.8033  4 Pm 3.57, 8 Tb 3.58
6 Tb 0.0000 0.5000 0.0958  8 Tb 3.49-3.58, 2 Sc 3.49, 2 Pm 3.59
7 Tb 0.0000 0.5000 0.2979  8 Tb 3.57-3.58, 4 Pm 3.57-3.58
8 Tb 0.0000 0.5000 0.5000  8 Tb 3.57-3.58, 4 Pm 3.58
9 Tb 0.0000 0.5000 0.7021  8 Tb 3.57-3.58, 4 Pm 3.57-3.58
10 Tb 0.0000 0.5000 0.9042  8 Tb 3.49-3.58, 2 Sc 3.49, 2 Pm 3.59
11 Tb 0.5000 0.0000 0.0958  8 Tb 3.49-3.58, 2 Sc 3.49, 2 Pm 3.59
12 Tb 0.5000 0.0000 0.2979  8 Tb 3.57-3.58, 4 Pm 3.57-3.58
13 Tb 0.5000 0.0000 0.5000  8 Tb 3.57-3.58, 4 Pm 3.58
14 Tb 0.5000 0.0000 0.7021  8 Tb 3.57-3.58, 4 Pm 3.57-3.58
15 Tb 0.5000 0.0000 0.9042  8 Tb 3.49-3.58, 2 Sc 3.49, 2 Pm 3.59
16 Pm 0.5000 0.5000 0.1975  12 Tb 3.57-3.59
17 Pm 0.5000 0.5000 0.3989  12 Tb 3.57-3.58
18 Pm 0.5000 0.5000 0.6011  12 Tb 3.57-3.58
19 Pm 0.5000 0.5000 0.8025  12 Tb 3.57-3.59
20 Sc 0.5000 0.5000 0.0000  12 Tb 3.49-3.57

final energy = -0.1734 hartree per atom

no.,energy relative to the elements (meV/atom)
1,173
2,409
3,240
4,41
5,189
6,242
7,179
8,132
9,22